The following is a DFT calculation (GGA-PBE) of a geometry-optimized Rb2BaBiPt structure.

Unit cell a=7.087 b=7.087 c=5.162 alpha=90.00 beta=90.00 gamma=90.00
Element x y z (fractional)
Pt 0.000 0.000 0.500
Ba 0.500 0.500 0.500
Rb 0.000 0.500 0.000
Bi 0.000 0.000 0.000
Rb 0.500 0.000 0.000

Summary:
Volume in Å³ per cell: 259
ΔE_f in meV/atom: 152.5
DOS at the Fermi energy in states/eV/cell: 2.76